Entry 1:
## SmDySi2 (PBE)

Data for crystalline SmDySi2 at its relaxed geometry.

It has space group Amm2 (No. 38), with a = 3.870 Å, b = 4.343 Å, c = 10.677 Å, α = 90.00°, β = 90.00° and γ = 90.00°. The inequivalent atoms are Sm at (0.000, 0.000, 0.000), Dy at (0.500, 0.000, 0.720), Si at (0.000, 0.000, 0.284) and Si at (0.500, 0.000, 0.433).

For the formation energy (no corrections), the calculation gives -804 meV/atom. The value obtained for the total magnetic moment is 0.0 μB/cell. The total energy comes out at -5.85 eV per atom. The offset from the most stable computed form comes out at 1.8 meV/atom.

Entry 2:
## PmAgIr2 (PBE)

Data for crystalline PmAgIr2 at its relaxed geometry.

It has space group P4/mmm (No. 123), with a = 4.173 Å, b = 4.173 Å, c = 4.212 Å, α = 90.00°, β = 90.00° and γ = 90.00°. The inequivalent atoms are Pm at (0.000, 0.000, 0.000), Ag at (0.500, 0.500, 0.000) and Ir at (0.000, 0.500, 0.500).

The value obtained for the total magnetic moment is 0.0 μB/cell. The total energy comes out at -6.45 eV per atom. The calculation puts the energy relative to the elements at -0.12 eV/atom.